Here is an optimized crystal structure of Na2YCrO4 from Alexandria. Energies are from PBE with a Hubbard U.

Results
For the uncorrected energy, the calculation gives -6.83 eV/atom.

Geometry as POSCAR:
```
Na2YCrO4
1.0
3.2568 0.0000 0.0000
0.0000 5.5747 0.0772
0.0000 -1.9671 5.4878
Na O Cr Y
2 4 1 1
direct
0.5000 0.0000 0.5000
0.0000 0.5000 0.5000
0.5000 0.2136 0.2022
0.0000 0.2416 0.7903
0.5000 0.7864 0.7978
0.0000 0.7584 0.2097
0.0000 0.0000 0.0000
0.5000 0.5000 0.0000
```